No. 1
Below is a relaxed CuSiTeN2 crystal, with properties calculated at the PBE level.

Computed properties:
- raw total energy (eV per atom) = -4.2570
- ΔE_f (raw) (eV per atom) = 1.605
- energy above the most stable polymorph in this dataset (kJ/mol of formula units) = 468

The structure in extended XYZ format:
```
5
Lattice="-1.868 -3.351 -0.428 1.992 -1.487 2.953 -4.096 1.814 3.676" Properties=species:S:1:pos:R:3 pbc="T T T"
Si -1.986 -1.512 3.101
Cu 0.000 0.000 0.000
N -0.934 -1.675 -0.214
N 0.996 -0.744 1.477
Te -2.048 0.907 1.838
```

No. 2
Below is a relaxed InCu3Au5 crystal, with properties calculated at the PBE level.

Computed properties:
- raw total energy (eV per atom) = -3.3558
- DFT formation energy (meV/atom) = 135

The structure in extended XYZ format:
```
18
Lattice="-2.486 4.705 2.079 -5.378 -1.422 -1.301 -5.285 -2.876 9.733" Properties=species:S:1:pos:R:3 pbc="T T T"
Au -7.521 -1.892 5.909
Au -9.072 0.182 7.430
Au -4.078 0.225 3.081
Au -4.452 0.541 -0.218
Au -6.977 -0.558 3.026
Au -6.014 1.836 1.817
Au -5.629 2.298 4.602
Au -3.413 2.742 0.996
Au -7.136 -1.429 8.694
Au -6.173 0.964 7.485
Cu -5.426 -0.299 5.183
Cu -2.215 0.342 1.274
Cu -2.643 -1.438 4.867
Cu -7.724 0.706 5.328
Cu -10.935 0.065 9.237
Cu 0.000 0.000 0.000
In -4.763 -1.734 7.218
In -8.387 2.141 3.293
```

No. 3
Below is a relaxed Ac2In2Sn4Rh crystal, with properties calculated at the PBE level.

Computed properties:
- raw total energy (eV per atom) = -4.6028
- DFT formation energy (meV/atom) = -485

The structure in extended XYZ format:
```
9
Lattice="-0.164 4.174 -5.618 2.405 -6.530 -0.763 -6.072 -2.203 2.700" Properties=species:S:1:pos:R:3 pbc="T T T"
Sn -2.763 -4.456 -1.194
Sn 0.138 -5.373 0.163
Sn -3.805 -3.360 1.774
Sn -1.068 -0.103 -2.487
Rh 0.000 0.000 0.000
Ac -4.035 -1.198 -0.975
Ac 0.204 -3.361 -2.706
In -2.641 -6.290 1.395
In -1.026 -2.443 0.542
```

No. 4
Below is a relaxed AcSmRu2O8 crystal, with properties calculated at the PBE level.

Computed properties:
- raw total energy (eV per atom) = -7.3172
- ΔE_f (raw) (eV per atom) = -1.730

The structure in extended XYZ format:
```
12
Lattice="-4.191 2.503 3.295 2.526 -5.020 1.763 5.175 3.879 3.634" Properties=species:S:1:pos:R:3 pbc="T T T"
Ru -0.886 0.795 3.533
Ru 4.396 0.568 5.159
Sm 2.587 1.940 1.817
O 0.478 -2.369 2.407
O -1.687 2.384 4.051
O 3.005 0.297 6.354
O 3.884 1.603 3.708
O 3.032 3.732 6.284
O 0.505 1.066 2.338
O 5.196 -1.021 4.640
O -0.374 -0.240 4.983
Ac 0.000 0.000 0.000
```